A geometry-optimized PmAl3Au6 structure, computed with PBE-GGA.

Output
- E_tot (eV per atom) = -4.026
- M_tot (μB/cell) = 0.0
- ΔH_f (0 K) (eV/atom) = -0.461

a b c (Å): 5.8553 6.4590 6.5145
angles (deg): 65.30 89.03 63.14
Space group P1 (No. 1)
Inequivalent atoms, fractional coordinates:
Pm: 0.0000 0.0000 0.0000 [1 per cell]
Al: 0.3086 0.4341 0.9393 [1 per cell]
Al: 0.5727 0.5076 0.5290 [1 per cell]
Al: 0.6528 0.6412 0.9455 [1 per cell]
Au: 0.0610 0.4344 0.2656 [1 per cell]
Au: 0.2098 0.8920 0.5906 [1 per cell]
Au: 0.4384 0.1570 0.7053 [1 per cell]
Au: 0.5191 0.9139 0.1915 [1 per cell]
Au: 0.6671 0.2355 0.3022 [1 per cell]
Au: 0.9104 0.6236 0.6236 [1 per cell]

A geometry-optimized PmAl2Au structure, computed with PBE-GGA.

Output
- energy above the most stable polymorph in this dataset (meV/atom) = 0.0
- E_tot (eV per atom) = -4.546
- M_tot (μB/cell) = 0.0
- ΔH_f (0 K) (eV/atom) = -0.667

a b c (Å): 4.4354 16.4953 9.2809
angles (deg): 90.00 90.00 90.00
Space group Cmcm (No. 63)
Inequivalent atoms, fractional coordinates:
Pm: 0.0000 0.0000 0.0000 [4 per cell]
Pm: 0.0000 0.1994 0.2500 [4 per cell]
Al: 0.0000 0.1936 0.6041 [8 per cell]
Al: 0.0000 0.4008 0.2500 [4 per cell]
Al: 0.0000 0.4409 0.7500 [4 per cell]
Au: 0.0000 0.3535 0.5160 [8 per cell]

A geometry-optimized PmAl3Au3 structure, computed with PBE-GGA.

Output
- energy above the most stable polymorph in this dataset (meV/atom) = 92.4
- E_tot (eV per atom) = -4.121
- M_tot (μB/cell) = 0.0
- ΔH_f (0 K) (eV/atom) = -0.433

a b c (Å): 8.2849 8.2849 15.4014
angles (deg): 90.00 90.00 120.00
Space group R-3 (No. 148, hexagonal axes)
Inequivalent atoms, fractional coordinates:
Pm: 0.0000 0.0000 0.1810 [6 per cell]
Al: 0.0058 0.6999 0.6205 [18 per cell]
Au: 0.0092 0.2973 0.5560 [18 per cell]

A geometry-optimized Pm2AlAu3 structure, computed with PBE-GGA.

Output
- E_tot (eV per atom) = -4.606
- M_tot (μB/cell) = 0.0
- ΔH_f (0 K) (eV/atom) = -0.760

a b c (Å): 7.2022 9.3379 16.2596
angles (deg): 90.00 90.00 90.00
Space group Fmmm (No. 69)
Inequivalent atoms, fractional coordinates:
Pm: 0.2413 0.0000 0.0000 [8 per cell]
Pm: 0.2500 0.2500 0.2500 [8 per cell]
Al: 0.0000 0.0000 0.3334 [8 per cell]
Au: 0.0000 0.0000 0.1743 [8 per cell]
Au: 0.0000 0.2367 0.4135 [16 per cell]

A geometry-optimized PmAl2Au6 structure, computed with PBE-GGA.

Output
- energy above the most stable polymorph in this dataset (meV/atom) = 0.0
- E_tot (eV per atom) = -3.931
- M_tot (μB/cell) = 0.0
- ΔH_f (0 K) (eV/atom) = -0.386

a b c (Å): 11.8697 7.5130 4.3941
angles (deg): 90.00 105.30 90.00
Space group C2/m (No. 12)
Inequivalent atoms, fractional coordinates:
Pm: 0.0000 0.0000 0.0000 [2 per cell]
Al: 0.1972 0.5000 0.7041 [4 per cell]
Au: 0.0000 0.2970 0.5000 [4 per cell]
Au: 0.1781 0.3044 0.1886 [8 per cell]

A geometry-optimized PmAl4Au8 structure, computed with PBE-GGA.

Output
- E_tot (eV per atom) = -4.007
- M_tot (μB/cell) = 0.0
- ΔH_f (0 K) (eV/atom) = -0.474

a b c (Å): 9.2613 9.2613 5.5195
angles (deg): 90.00 90.00 90.00
Space group I4/mmm (No. 139)
Inequivalent atoms, fractional coordinates:
Pm: 0.0000 0.0000 0.0000 [2 per cell]
Al: 0.2500 0.2500 0.2500 [8 per cell]
Au: 0.0000 0.2189 0.5000 [8 per cell]
Au: 0.0000 0.3290 0.0000 [8 per cell]

A geometry-optimized Pm3AlAu structure, computed with PBE-GGA.

Output
- E_tot (eV per atom) = -4.630
- M_tot (μB/cell) = 1.5
- ΔH_f (0 K) (eV/atom) = -0.375

a b c (Å): 7.4456 7.4456 7.4456
angles (deg): 90.00 90.00 90.00
Space group Pm-3m (No. 221)
Inequivalent atoms, fractional coordinates:
Pm: 0.0000 0.0000 0.0000 [1 per cell]
Pm: 0.2613 0.2613 0.2613 [8 per cell]
Al: 0.0000 0.0000 0.5000 [3 per cell]
Au: 0.0000 0.5000 0.5000 [3 per cell]

A geometry-optimized Pm5Al2Au12 structure, computed with PBE-GGA.

Output
- E_tot (eV per atom) = -4.337
- M_tot (μB/cell) = 0.0
- ΔH_f (0 K) (eV/atom) = -0.623

a b c (Å): 15.4876 7.6062 7.0880
angles (deg): 90.00 91.62 90.00
Space group C2/m (No. 12)
Inequivalent atoms, fractional coordinates:
Pm: 0.0000 0.0000 0.0000 [2 per cell]
Pm: 0.1997 0.5000 0.5473 [4 per cell]
Pm: 0.2465 0.0000 0.9313 [4 per cell]
Al: 0.0000 0.2654 0.5000 [4 per cell]
Au: 0.0475 0.5000 0.2482 [4 per cell]
Au: 0.0989 0.0000 0.5976 [4 per cell]
Au: 0.1064 0.3043 0.8527 [8 per cell]
Au: 0.1502 0.1918 0.2517 [8 per cell]

A geometry-optimized PmAl3Au3 structure, computed with PBE-GGA.

Output
- energy above the most stable polymorph in this dataset (meV/atom) = 274.3
- E_tot (eV per atom) = -3.939
- M_tot (μB/cell) = 0.0
- ΔH_f (0 K) (eV/atom) = -0.252

a b c (Å): 6.9388 6.9388 6.9388
angles (deg): 90.00 90.00 90.00
Space group Pm-3n (No. 223)
Inequivalent atoms, fractional coordinates:
Pm: 0.0000 0.0000 0.0000 [2 per cell]
Al: 0.0000 0.2500 0.5000 [6 per cell]
Au: 0.0000 0.5000 0.2500 [6 per cell]

A geometry-optimized PmAl5Au2 structure, computed with PBE-GGA.

Output
- E_tot (eV per atom) = -4.227
- M_tot (μB/cell) = 0.0
- ΔH_f (0 K) (eV/atom) = -0.474

a b c (Å): 4.1401 7.4513 9.9554
angles (deg): 90.00 90.00 90.00
Space group Immm (No. 71)
Inequivalent atoms, fractional coordinates:
Pm: 0.0000 0.0000 0.0000 [2 per cell]
Al: 0.0000 0.1864 0.3583 [8 per cell]
Al: 0.0000 0.5000 0.0000 [2 per cell]
Au: 0.0000 0.5000 0.2553 [4 per cell]

A geometry-optimized Pm2Al5Au5 structure, computed with PBE-GGA.

Output
- E_tot (eV per atom) = -4.352
- M_tot (μB/cell) = 0.0
- ΔH_f (0 K) (eV/atom) = -0.635

a b c (Å): 4.3898 5.4860 9.7461
angles (deg): 90.00 90.00 90.00
Space group Pmmm (No. 47)
Inequivalent atoms, fractional coordinates:
Pm: 0.0000 0.0000 0.0000 [1 per cell]
Pm: 0.0000 0.5000 0.5000 [1 per cell]
Al: 0.5000 0.0000 0.5000 [1 per cell]
Al: 0.5000 0.2461 0.2407 [4 per cell]
Au: 0.0000 0.0000 0.3354 [2 per cell]
Au: 0.0000 0.5000 0.1865 [2 per cell]
Au: 0.5000 0.5000 0.0000 [1 per cell]

A geometry-optimized PmAl5Au7 structure, computed with PBE-GGA.

Output
- E_tot (eV per atom) = -4.058
- M_tot (μB/cell) = 0.0
- ΔH_f (0 K) (eV/atom) = -0.488

a b c (Å): 5.5509 9.3405 9.0670
angles (deg): 90.00 90.00 90.00
Space group Imm2 (No. 44)
Inequivalent atoms, fractional coordinates:
Pm: 0.0000 0.0000 0.0000 [2 per cell]
Al: 0.0000 0.5000 0.7421 [2 per cell]
Al: 0.2445 0.2571 0.2566 [8 per cell]
Au: 0.0000 0.0000 0.3231 [2 per cell]
Au: 0.0000 0.0000 0.6666 [2 per cell]
Au: 0.0000 0.3061 0.5215 [4 per cell]
Au: 0.0000 0.3369 0.9882 [4 per cell]
Au: 0.0000 0.5000 0.2734 [2 per cell]

A geometry-optimized Pm2Al4Au5 structure, computed with PBE-GGA.

Output
- E_tot (eV per atom) = -4.272
- M_tot (μB/cell) = 0.0
- ΔH_f (0 K) (eV/atom) = -0.557

a b c (Å): 6.0730 9.9667 15.1104
angles (deg): 90.00 90.00 90.00
Space group Fmmm (No. 69)
Inequivalent atoms, fractional coordinates:
Pm: 0.0000 0.0000 0.1402 [8 per cell]
Al: 0.0000 0.1452 0.3640 [16 per cell]
Au: 0.0000 0.0000 0.5000 [4 per cell]
Au: 0.2500 0.2500 0.0000 [8 per cell]
Au: 0.2500 0.2500 0.2500 [8 per cell]

A geometry-optimized PmAl2Au structure, computed with PBE-GGA.

Output
- energy above the most stable polymorph in this dataset (meV/atom) = 13.6
- E_tot (eV per atom) = -4.532
- M_tot (μB/cell) = 0.0
- ΔH_f (0 K) (eV/atom) = -0.654

a b c (Å): 4.5437 10.5222 6.8219
angles (deg): 90.00 90.00 90.00
Space group Cmcm (No. 63)
Inequivalent atoms, fractional coordinates:
Pm: 0.0000 0.0813 0.2500 [4 per cell]
Al: 0.0000 0.3726 0.0535 [8 per cell]
Au: 0.0000 0.2076 0.7500 [4 per cell]

A geometry-optimized Pm8AlAu2 structure, computed with PBE-GGA.

Output
- energy above the most stable polymorph in this dataset (meV/atom) = 0.0
- E_tot (eV per atom) = -4.732
- M_tot (μB/cell) = 0.0
- ΔH_f (0 K) (eV/atom) = -0.341

a b c (Å): 18.4889 5.2426 7.1165
angles (deg): 90.00 108.23 90.00
Space group C2/m (No. 12)
Inequivalent atoms, fractional coordinates:
Pm: 0.0250 0.0000 0.2752 [4 per cell]
Pm: 0.0913 0.5000 0.9665 [4 per cell]
Pm: 0.1699 0.5000 0.4823 [4 per cell]
Pm: 0.1952 0.0000 0.8250 [4 per cell]
Al: 0.0000 0.5000 0.5000 [2 per cell]
Au: 0.1785 0.0000 0.2260 [4 per cell]

A geometry-optimized PmAl2Au structure, computed with PBE-GGA.

Output
- energy above the most stable polymorph in this dataset (meV/atom) = 212.8
- E_tot (eV per atom) = -4.333
- M_tot (μB/cell) = 0.0
- ΔH_f (0 K) (eV/atom) = -0.455

a b c (Å): 4.3672 4.3672 4.3795
angles (deg): 90.00 90.00 90.00
Space group P4/mmm (No. 123)
Inequivalent atoms, fractional coordinates:
Pm: 0.0000 0.0000 0.0000 [1 per cell]
Al: 0.0000 0.5000 0.5000 [2 per cell]
Au: 0.5000 0.5000 0.0000 [1 per cell]

A geometry-optimized Pm3Al7Au2 structure, computed with PBE-GGA.

Output
- E_tot (eV per atom) = -4.512
- M_tot (μB/cell) = 0.0
- ΔH_f (0 K) (eV/atom) = -0.595

a b c (Å): 5.6501 5.6501 26.4361
angles (deg): 90.00 90.00 120.00
Space group R-3m (No. 166, hexagonal axes)
Inequivalent atoms, fractional coordinates:
Pm: 0.0000 0.0000 0.0000 [3 per cell]
Pm: 0.0000 0.0000 0.1422 [6 per cell]
Al: 0.0000 0.0000 0.5000 [3 per cell]
Al: 0.0093 0.5046 0.9178 [18 per cell]
Au: 0.0000 0.0000 0.3366 [6 per cell]

A geometry-optimized PmAl2Au8 structure, computed with PBE-GGA.

Output
- energy above the most stable polymorph in this dataset (meV/atom) = 0.0
- E_tot (eV per atom) = -3.902
- M_tot (μB/cell) = 0.0
- ΔH_f (0 K) (eV/atom) = -0.406

a b c (Å): 14.2254 4.2612 7.7470
angles (deg): 90.00 116.94 90.00
Space group C2/m (No. 12)
Inequivalent atoms, fractional coordinates:
Pm: 0.0000 0.0000 0.0000 [2 per cell]
Al: 0.2243 0.5000 0.7052 [4 per cell]
Au: 0.0427 0.5000 0.7288 [4 per cell]
Au: 0.1008 0.0000 0.4756 [4 per cell]
Au: 0.1654 0.5000 0.2986 [4 per cell]
Au: 0.1871 0.0000 0.8958 [4 per cell]

A geometry-optimized PmAl3Au3 structure, computed with PBE-GGA.

Output
- energy above the most stable polymorph in this dataset (meV/atom) = 0.0
- E_tot (eV per atom) = -4.213
- M_tot (μB/cell) = 0.0
- ΔH_f (0 K) (eV/atom) = -0.526

a b c (Å): 7.4399 4.5202 8.9781
angles (deg): 90.00 108.44 90.00
Space group P2_1/m (No. 11)
Inequivalent atoms, fractional coordinates:
Pm: 0.2059 0.2500 0.2787 [2 per cell]
Al: 0.1217 0.2500 0.9035 [2 per cell]
Al: 0.2241 0.7500 0.7433 [2 per cell]
Al: 0.4617 0.2500 0.7143 [2 per cell]
Au: 0.0355 0.2500 0.6049 [2 per cell]
Au: 0.2287 0.7500 0.0400 [2 per cell]
Au: 0.3905 0.7500 0.5399 [2 per cell]

A geometry-optimized PmAl4Au4 structure, computed with PBE-GGA.

Output
- E_tot (eV per atom) = -4.186
- M_tot (μB/cell) = 0.0
- ΔH_f (0 K) (eV/atom) = -0.538

a b c (Å): 6.2753 6.2753 8.8511
angles (deg): 90.00 90.00 90.00
Space group P4_2/nmc (No. 137, origin choice 2)
Inequivalent atoms, fractional coordinates:
Pm: 0.2500 0.7500 0.2500 [2 per cell]
Al: 0.0267 0.2500 0.1508 [8 per cell]
Au: 0.0249 0.2500 0.4438 [8 per cell]